## TbNd2HoAs4 (PBE-GGA)

Data for an optimized crystal structure of TbNd2HoAs4.

Geometry as extended XYZ:
```
8
Lattice="7.2651 0.0000 0.0000 0.0000 4.1995 0.0000 -2.4234 0.0000 6.8533" Properties=species:S:1:pos:R:3 pbc="T T T"
Tb 0.0000 0.0000 0.0000
Nd 2.4208 0.0000 3.4267
Nd 3.6325 2.0998 0.0000
Ho -1.2117 2.0998 3.4267
As -0.0617 0.0000 5.1104
As 1.1506 2.0998 1.7004
As 3.6910 2.0998 5.1529
As 4.9033 0.0000 1.7429
```

Energy relative to the elements: -1.518 eV/atom